1.
# PBE-GGA LiTl2Ni, relaxed
data_LiTl2Ni
_chemical_formula_sum 'Li3 Tl6 Ni3'
_cell_length_a 3.3290
_cell_length_b 3.3290
_cell_length_c 26.9505
_cell_angle_alpha 90.00
_cell_angle_beta 90.00
_cell_angle_gamma 120.00
_space_group_name_H-M_alt 'R 3 m'
_space_group_IT_number 160
_space_group_name_Hall 'R 3 -2"'
loop_
_atom_site_label
_atom_site_type_symbol
_atom_site_fract_x
_atom_site_fract_y
_atom_site_fract_z
Li1 Li 0.0000 0.0000 0.0000
Tl1 Tl 0.0000 0.0000 0.5311
Tl2 Tl 0.0000 0.0000 0.7587
Ni1 Ni 0.0000 0.0000 0.2678
# **Energy relative to the elements**: 0.254 eV/atom


2.
# PBE-GGA Li5Mg4Cd, relaxed
data_Li5Mg4Cd
_chemical_formula_sum 'Li5 Mg4 Cd1'
_cell_length_a 3.455
_cell_length_b 3.455
_cell_length_c 16.513
_cell_angle_alpha 90.00
_cell_angle_beta 90.00
_cell_angle_gamma 90.00
_space_group_name_H-M_alt 'P 4/m m m'
_space_group_IT_number 123
_space_group_name_Hall '-P 4 2'
loop_
_atom_site_label
_atom_site_type_symbol
_atom_site_fract_x
_atom_site_fract_y
_atom_site_fract_z
Li1 Li 0.000 0.000 0.000
Li2 Li 0.000 0.000 0.203
Li3 Li 0.000 0.000 0.409
Mg1 Mg 0.500 0.500 0.101
Mg2 Mg 0.500 0.500 0.306
Cd1 Cd 0.500 0.500 0.500
# **Energy relative to the elements**: -0.104 eV/atom


3.
# PBE-GGA BeIr2Rh, relaxed
data_BeIr2Rh
_chemical_formula_sum 'Be1 Ir2 Rh1'
_cell_length_a 2.768
_cell_length_b 2.768
_cell_length_c 6.637
_cell_angle_alpha 90.00
_cell_angle_beta 90.00
_cell_angle_gamma 90.00
_space_group_name_H-M_alt 'P 4/m m m'
_space_group_IT_number 123
_space_group_name_Hall '-P 4 2'
loop_
_atom_site_label
_atom_site_type_symbol
_atom_site_fract_x
_atom_site_fract_y
_atom_site_fract_z
Be1 Be 0.000 0.000 0.000
Ir1 Ir 0.500 0.500 0.210
Rh1 Rh 0.000 0.000 0.500
# **Energy relative to the elements**: -0.237 eV/atom


4.
# PBE-GGA SrOsI2, relaxed
data_SrOsI2
_chemical_formula_sum 'Sr4 Os4 I8'
_cell_length_a 7.857
_cell_length_b 7.857
_cell_length_c 7.857
_cell_angle_alpha 90.00
_cell_angle_beta 90.00
_cell_angle_gamma 90.00
_space_group_name_H-M_alt 'F m -3 m'
_space_group_IT_number 225
_space_group_name_Hall '-F 4 2 3'
loop_
_atom_site_label
_atom_site_type_symbol
_atom_site_fract_x
_atom_site_fract_y
_atom_site_fract_z
Sr1 Sr 0.000 0.000 0.000
Os1 Os 0.000 0.000 0.500
I1 I 0.250 0.250 0.250
# **Uncorrected formation energy**: 0.444 eV/atom


5.
# PBE-GGA RbAsPt, relaxed
data_RbAsPt
_chemical_formula_sum 'Rb1 As1 Pt1'
_cell_length_a 4.2174
_cell_length_b 4.2174
_cell_length_c 5.6127
_cell_angle_alpha 90.00
_cell_angle_beta 90.00
_cell_angle_gamma 120.00
_space_group_name_H-M_alt 'P -6 m 2'
_space_group_IT_number 187
_space_group_name_Hall 'P -6 2'
loop_
_atom_site_label
_atom_site_type_symbol
_atom_site_fract_x
_atom_site_fract_y
_atom_site_fract_z
Rb1 Rb 0.0000 0.0000 0.0000
As1 As 0.6667 0.3333 0.5000
Pt1 Pt 0.3333 0.6667 0.5000
# **Energy relative to the elements**: -0.410 eV/atom


6.
# PBE-GGA LiAc3Cu3, relaxed
data_LiAc3Cu3
_chemical_formula_sum 'Li4 Ac12 Cu12'
_cell_length_a 4.281
_cell_length_b 11.427
_cell_length_c 15.172
_cell_angle_alpha 90.00
_cell_angle_beta 90.00
_cell_angle_gamma 90.00
_space_group_name_H-M_alt 'C m c m'
_space_group_IT_number 63
_space_group_name_Hall '-C 2c 2'
loop_
_atom_site_label
_atom_site_type_symbol
_atom_site_fract_x
_atom_site_fract_y
_atom_site_fract_z
Li1 Li 0.000 0.000 0.000
Ac1 Ac 0.000 0.018 0.250
Ac2 Ac 0.000 0.298 0.102
Cu1 Cu 0.000 0.277 0.750
Cu2 Cu 0.000 0.410 0.599
# **Energy relative to the elements**: -0.090 eV/atom


The evaluated total energy for the records listed, in turn: -2.85; -1.79; -7.44; -3.56; -4.30; -3.88 eV/atom.